# 1
# PBE LiYHf, optimized geometry
data_LiYHf
_symmetry_space_group_name_H-M 'P -1'
_symmetry_Int_Tables_number 2
_cell_length_a 3.306
_cell_length_b 5.554
_cell_length_c 8.787
_cell_angle_alpha 74.13
_cell_angle_beta 79.24
_cell_angle_gamma 72.73
loop_
_symmetry_equiv_pos_as_xyz
'x,y,z'
'-x,-y,-z'
loop_
_atom_site_label
_atom_site_type_symbol
_atom_site_fract_x
_atom_site_fract_y
_atom_site_fract_z
_atom_site_occupancy
Li1 Li 0.196 0.203 0.406 1
Y1 Y 0.487 0.291 0.735 1
Hf1 Hf 0.155 0.749 0.942 1
# N(E_F) ... 1.65 states/eV/f.u.
# Energy of formation from the pure elements ... 0.124 eV/atom
# Magnetic moment ... 0.00 μB per formula unit
# V ... 147.2 Å³ per cell
# ΔE to the lowest computed polymorph ... 25.2 meV/atom

# 2
# PBE HoInAu2, optimized geometry
data_HoInAu2
_symmetry_space_group_name_H-M 'P 4/m m m'
_symmetry_Int_Tables_number 123
_symmetry_space_group_name_Hall '-P 4 2'
_cell_length_a 3.553
_cell_length_b 3.553
_cell_length_c 6.994
_cell_angle_alpha 90.00
_cell_angle_beta 90.00
_cell_angle_gamma 90.00
loop_
_atom_site_label
_atom_site_type_symbol
_atom_site_fract_x
_atom_site_fract_y
_atom_site_fract_z
_atom_site_occupancy
Ho1 Ho 0.000 0.000 0.000 1
In1 In 0.000 0.000 0.500 1
Au1 Au 0.500 0.500 0.244 1
# N(E_F) ... 1.90 states/eV/f.u.
# Energy of formation from the pure elements ... -0.595 eV/atom
# Magnetic moment ... 0.00 μB per formula unit
# V ... 88.3 Å³ per cell

# 3
# PBE BeAlCd2, optimized geometry
data_BeAlCd2
_symmetry_space_group_name_H-M 'R -3 m'
_symmetry_Int_Tables_number 166
_symmetry_space_group_name_Hall '-R 3 2"'
_cell_length_a 3.0719
_cell_length_b 3.0719
_cell_length_c 26.0491
_cell_angle_alpha 90.00
_cell_angle_beta 90.00
_cell_angle_gamma 120.00
loop_
_atom_site_label
_atom_site_type_symbol
_atom_site_fract_x
_atom_site_fract_y
_atom_site_fract_z
_atom_site_occupancy
Be1 Be 0.0000 0.0000 0.0000 1
Al1 Al 0.0000 0.0000 0.5000 1
Cd1 Cd 0.0000 0.0000 0.2594 1
# N(E_F) ... 0.41 states/eV/f.u.
# Energy of formation from the pure elements ... 0.313 eV/atom
# Magnetic moment ... 0.00 μB per formula unit
# V ... 212.9 Å³ per cell
# ΔE to the lowest computed polymorph ... 97.9 meV/atom

# 4
# PBE KRbGa2Bi, optimized geometry
data_KRbGa2Bi
_symmetry_space_group_name_H-M 'P 4/m m m'
_symmetry_Int_Tables_number 123
_symmetry_space_group_name_Hall '-P 4 2'
_cell_length_a 6.016
_cell_length_b 6.016
_cell_length_c 6.278
_cell_angle_alpha 90.00
_cell_angle_beta 90.00
_cell_angle_gamma 90.00
loop_
_atom_site_label
_atom_site_type_symbol
_atom_site_fract_x
_atom_site_fract_y
_atom_site_fract_z
_atom_site_occupancy
K1 K 0.000 0.000 0.000 1
Rb1 Rb 0.500 0.500 0.500 1
Ga1 Ga 0.000 0.500 0.000 1
Bi1 Bi 0.000 0.000 0.500 1
# N(E_F) ... 2.12 states/eV/f.u.
# Energy of formation from the pure elements ... 0.521 eV/atom
# Magnetic moment ... 0.00 μB per formula unit
# V ... 227.2 Å³ per cell

Copy entry 2 word for word.
# PBE HoInAu2, optimized geometry
data_HoInAu2
_symmetry_space_group_name_H-M 'P 4/m m m'
_symmetry_Int_Tables_number 123
_symmetry_space_group_name_Hall '-P 4 2'
_cell_length_a 3.553
_cell_length_b 3.553
_cell_length_c 6.994
_cell_angle_alpha 90.00
_cell_angle_beta 90.00
_cell_angle_gamma 90.00
loop_
_atom_site_label
_atom_site_type_symbol
_atom_site_fract_x
_atom_site_fract_y
_atom_site_fract_z
_atom_site_occupancy
Ho1 Ho 0.000 0.000 0.000 1
In1 In 0.000 0.000 0.500 1
Au1 Au 0.500 0.500 0.244 1
# N(E_F) ... 1.90 states/eV/f.u.
# Energy of formation from the pure elements ... -0.595 eV/atom
# Magnetic moment ... 0.00 μB per formula unit
# V ... 88.3 Å³ per cell